1) A plane-wave DFT calculation with PBE was carried out for a relaxed structure of LiNi3Ir.

Properties
**Fermi-level density of states**: 6.32 states/eV/f.u.
**Spin magnetization**: 1.77 μB per cell

abc: 3.875 3.875 3.875
angles: 90.00 90.00 90.00
Element x y z (fractional)
Li 0.000 0.000 0.000
Ni 0.000 0.000 0.500
Ni 0.000 0.500 0.000
Ni 0.500 0.000 0.000
Ir 0.500 0.500 0.500

***

2) A plane-wave DFT calculation with PBE was carried out for a relaxed structure of LiNi3Ir.

Properties
**Fermi-level density of states**: 8.24 states/eV/f.u.
**Spin magnetization**: 7.34 μB per cell

abc: 6.661 5.305 6.644
angles: 90.00 90.00 90.00
Element x y z (fractional)
Li 0.173 0.250 0.171
Li 0.327 0.750 0.671
Li 0.673 0.250 0.329
Li 0.827 0.750 0.829
Ni 0.127 0.503 0.875
Ni 0.127 0.997 0.875
Ni 0.171 0.750 0.173
Ni 0.329 0.250 0.673
Ni 0.373 0.003 0.375
Ni 0.373 0.497 0.375
Ni 0.627 0.503 0.625
Ni 0.627 0.997 0.625
Ni 0.671 0.750 0.327
Ni 0.829 0.250 0.827
Ni 0.873 0.003 0.125
Ni 0.873 0.497 0.125
Ir 0.000 0.000 0.500
Ir 0.000 0.500 0.500
Ir 0.500 0.000 0.000
Ir 0.500 0.500 0.000

***

3) A plane-wave DFT calculation with PBE was carried out for a relaxed structure of LiNi3Ir.

Properties
**Fermi-level density of states**: 6.75 states/eV/f.u.
**Spin magnetization**: 0.78 μB per cell

abc: 2.556 5.020 9.383
angles: 82.36 82.18 89.98
Element x y z (fractional)
Li 0.103 0.049 0.296
Li 0.897 0.951 0.704
Ni 0.296 0.152 0.908
Ni 0.299 0.649 0.903
Ni 0.499 0.744 0.500
Ni 0.501 0.256 0.500
Ni 0.701 0.351 0.097
Ni 0.704 0.848 0.092
Ir 0.103 0.550 0.295
Ir 0.897 0.450 0.705

***

4) A plane-wave DFT calculation with PBE was carried out for a relaxed structure of LiNi3Ir.

Properties
**Fermi-level density of states**: 6.87 states/eV/f.u.
**Spin magnetization**: 3.20 μB per cell

abc: 4.587 4.587 4.587
angles: 90.00 90.00 90.00
Element x y z (fractional)
Li 0.000 0.000 0.000
Ni 0.000 0.500 0.500
Ni 0.500 0.000 0.500
Ni 0.500 0.500 0.000
Ir 0.500 0.500 0.500

***

Stability, highest: 3)